Entry 1:
Material: Tl2TcSF5
Method: DFT, PBE-GGA
State: relaxed

Values from the calculation:
- magnetization (μB per atom) = 0.22
- ΔE_f (raw) (eV per atom) = -1.700
- total DFT energy (no corrections) (eV for the cell shown) = -87.764

Lattice parameters (Å, degrees): 6.2303 6.2303 9.5001 90.00 90.00 90.00
Space group I4mm (No. 107)
Asymmetric unit:
Tl (0.0000, 0.5000, 0.0000) (multiplicity 4)
Tc (0.0000, 0.0000, 0.2310) (multiplicity 2)
S (0.0000, 0.0000, 0.4620) (multiplicity 2)
F (0.0000, 0.0000, 0.0162) (multiplicity 2)
F (0.2221, 0.2221, 0.2127) (multiplicity 8)



Entry 2:
Material: TeSF3
Method: DFT, PBE-GGA
State: relaxed

Values from the calculation:
- magnetization (μB per atom) = 0.56
- ΔE_f (raw) (eV per atom) = -0.223
- total DFT energy (no corrections) (eV for the cell shown) = -14.000
- distance to the lowest polymorph of the same formula (meV per atom) = 492

Lattice parameters (Å, degrees): 4.4005 4.4005 4.4005 90.00 90.00 90.00
Space group Pm-3m (No. 221)
Asymmetric unit:
Te (0.0000, 0.0000, 0.0000) (multiplicity 1)
S (0.5000, 0.5000, 0.5000) (multiplicity 1)
F (0.0000, 0.5000, 0.5000) (multiplicity 3)



Entry 3:
Material: TeSF2
Method: DFT, PBE-GGA
State: relaxed

Values from the calculation:
- magnetization (μB per atom) = 0.07
- ΔE_f (raw) (eV per atom) = -0.669
- total DFT energy (no corrections) (eV for the cell shown) = -54.756
- distance to the lowest polymorph of the same formula (meV per atom) = 530

Lattice parameters (Å, degrees): 4.0123 4.0123 15.9752 90.00 90.00 90.00
Space group I-42d (No. 122)
Asymmetric unit:
Te (0.0000, 0.0000, 0.0000) (multiplicity 4)
S (0.0000, 0.0000, 0.5000) (multiplicity 4)
F (0.1662, 0.2500, 0.1250) (multiplicity 8)